# 1
# Er2RuAu

A crystal of Er2RuAu relaxed with PBEsol (meta-GGA SCAN, Alexandria).

Structure (CIF):
```
data_Er2RuAu
_space_group_name_H-M_alt 'F m -3 m'
_space_group_IT_number 225
_space_group_name_Hall '-F 4 2 3'
_cell_length_a 6.8139
_cell_length_b 6.8139
_cell_length_c 6.8139
_cell_angle_alpha 90.00
_cell_angle_beta 90.00
_cell_angle_gamma 90.00
loop_
_atom_site_label
_atom_site_fract_x
_atom_site_fract_y
_atom_site_fract_z
Er1 0.2500 0.2500 0.2500
Ru1 0.0000 0.0000 0.0000
Au1 0.0000 0.0000 0.5000
```

**DFT formation energy**: -0.80 eV per atom
**Energy**: -51.9645 eV/atom
**Crystal system**: cubic
**Magnetic moment**: 0.00 μB per cell

# 2
# CrCo2Ir

A crystal of CrCo2Ir relaxed with PBEsol (meta-GGA SCAN, Alexandria).

Structure (CIF):
```
data_CrCo2Ir
_space_group_name_H-M_alt 'I 4/m m m'
_space_group_IT_number 139
_space_group_name_Hall '-I 4 2'
_cell_length_a 3.5488
_cell_length_b 3.5488
_cell_length_c 7.1833
_cell_angle_alpha 90.00
_cell_angle_beta 90.00
_cell_angle_gamma 90.00
loop_
_atom_site_label
_atom_site_fract_x
_atom_site_fract_y
_atom_site_fract_z
Cr1 0.0000 0.0000 0.0000
Co1 0.0000 0.5000 0.2500
Ir1 0.0000 0.0000 0.5000
```

**DFT formation energy**: -0.03 eV per atom
**Energy**: -31.0574 eV/atom
**Crystal system**: tetragonal
**Magnetic moment**: 2.14 μB per cell

# 3
# Ca2FeNi

A crystal of Ca2FeNi relaxed with PBEsol (meta-GGA SCAN, Alexandria).

Structure (CIF):
```
data_Ca2FeNi
_space_group_name_H-M_alt 'P 4/m m m'
_space_group_IT_number 123
_space_group_name_Hall '-P 4 2'
_cell_length_a 3.3348
_cell_length_b 3.3348
_cell_length_c 7.1659
_cell_angle_alpha 90.00
_cell_angle_beta 90.00
_cell_angle_gamma 90.00
loop_
_atom_site_label
_atom_site_fract_x
_atom_site_fract_y
_atom_site_fract_z
Ca1 0.0000 0.0000 0.2328
Fe1 0.5000 0.5000 0.5000
Ni1 0.5000 0.5000 0.0000
```

**DFT formation energy**: 0.40 eV per atom
**Energy**: -13.0038 eV/atom
**Crystal system**: tetragonal
**Magnetic moment**: 2.80 μB per cell

# 4
# Rb2AgAs3Se6

A crystal of Rb2AgAs3Se6 relaxed with PBEsol (meta-GGA SCAN, Alexandria).

Structure (CIF):
```
data_Rb2AgAs3Se6
_space_group_name_H-M_alt 'P 1 21/c 1'
_space_group_IT_number 14
_space_group_name_Hall '-P 2ybc'
_cell_length_a 12.4754
_cell_length_b 7.7094
_cell_length_c 17.8992
_cell_angle_alpha 90.00
_cell_angle_beta 126.99
_cell_angle_gamma 90.00
loop_
_atom_site_label
_atom_site_fract_x
_atom_site_fract_y
_atom_site_fract_z
Rb1 0.0826 0.1111 0.2349
Rb2 0.2815 0.6260 0.6116
Ag1 0.0290 0.0014 0.4273
As1 0.2785 0.0839 0.6498
As2 0.3377 0.5527 0.3651
As3 0.3901 0.1687 0.5019
Se1 0.0856 0.2357 0.0483
Se2 0.1536 0.6777 0.2246
Se3 0.2215 0.0993 0.9185
Se4 0.2541 0.5801 0.9566
Se5 0.3845 0.2056 0.8061
Se6 0.4598 0.2335 0.6591
```

**Formation energy (no corrections)**: -0.54 eV/atom
**Energy**: -21.7020 eV/atom
**Crystal system**: monoclinic
**Magnetic moment**: 0.00 μB per cell